{"formula": "SmTaIO4", "functional": "PBE", "state": "optimized geometry", "magnetic_moment_mub_per_atom": 0.00, "e_form_raw_ev_per_atom": -2.593, "sg": "C2/m", "lattice": [[6.644, -3.242, 0.000], [6.644, 3.242, 0.000], [-1.983, 0.000, 6.631]], "species": ["Sm", "Sm", "Ta", "Ta", "I", "I", "O", "O", "O", "O", "O", "O", "O", "O"], "frac_coords": [[0.206, 0.206, 0.319], [0.794, 0.794, 0.681], [0.111, 0.111, 0.704], [0.889, 0.889, 0.296], [0.458, 0.458, 0.799], [0.542, 0.542, 0.201], [0.038, 0.038, 0.346], [0.046, 0.594, 0.377], [0.159, 0.159, 0.983], [0.406, 0.954, 0.623], [0.594, 0.046, 0.377], [0.841, 0.841, 0.017], [0.954, 0.406, 0.623], [0.962, 0.962, 0.654]]}


{"formula": "TbSmIO6", "functional": "PBE", "state": "optimized geometry", "magnetic_moment_mub_per_atom": 0.00, "e_form_raw_ev_per_atom": -2.019, "sg": "P-31c", "lattice": [[5.664, 0.000, 0.000], [-2.832, 4.905, 0.000], [0.000, 0.000, 9.727]], "species": ["Tb", "Tb", "Sm", "Sm", "I", "I", "O", "O", "O", "O", "O", "O", "O", "O", "O", "O", "O", "O"], "frac_coords": [[0.333, 0.667, 0.250], [0.667, 0.333, 0.750], [0.000, 0.000, 0.000], [0.000, 0.000, 0.500], [0.333, 0.667, 0.750], [0.667, 0.333, 0.250], [0.037, 0.368, 0.636], [0.037, 0.669, 0.864], [0.331, 0.368, 0.864], [0.331, 0.963, 0.636], [0.368, 0.037, 0.136], [0.368, 0.331, 0.364], [0.632, 0.669, 0.636], [0.632, 0.963, 0.864], [0.669, 0.037, 0.364], [0.669, 0.632, 0.136], [0.963, 0.331, 0.136], [0.963, 0.632, 0.364]]}


{"formula": "TbSm2IO8", "functional": "PBE", "state": "optimized geometry", "magnetic_moment_mub_per_atom": 0.00, "e_form_raw_ev_per_atom": -2.286, "sg": "Cmmm", "lattice": [[3.592, -3.648, 0.000], [3.592, 3.648, 0.000], [0.000, 0.000, 6.935]], "species": ["Tb", "Sm", "Sm", "I", "O", "O", "O", "O", "O", "O", "O", "O"], "frac_coords": [[0.000, 0.000, 0.000], [0.500, 0.500, 0.251], [0.500, 0.500, 0.749], [0.000, 0.000, 0.500], [0.177, 0.823, 0.294], [0.177, 0.823, 0.706], [0.263, 0.263, 0.500], [0.306, 0.306, 0.000], [0.694, 0.694, 0.000], [0.737, 0.737, 0.500], [0.823, 0.177, 0.294], [0.823, 0.177, 0.706]]}


{"formula": "SmTcIO4", "functional": "PBE", "state": "optimized geometry", "magnetic_moment_mub_per_atom": 0.18, "e_form_raw_ev_per_atom": -1.876, "sg": "C2/m", "lattice": [[5.678, -3.592, 0.000], [5.678, 3.592, 0.000], [-1.616, 0.000, 6.789]], "species": ["Sm", "Sm", "Tc", "Tc", "I", "I", "O", "O", "O", "O", "O", "O", "O", "O"], "frac_coords": [[0.250, 0.250, 0.123], [0.750, 0.750, 0.877], [0.371, 0.371, 0.726], [0.629, 0.629, 0.274], [0.010, 0.010, 0.749], [0.990, 0.990, 0.251], [0.126, 0.488, 0.863], [0.299, 0.299, 0.474], [0.470, 0.470, 0.211], [0.488, 0.126, 0.863], [0.512, 0.874, 0.137], [0.530, 0.530, 0.789], [0.701, 0.701, 0.526], [0.874, 0.512, 0.137]]}


{"formula": "SmTeIO4", "functional": "PBE", "state": "optimized geometry", "magnetic_moment_mub_per_atom": 0.00, "e_form_raw_ev_per_atom": -1.582, "sg": "C2/m", "lattice": [[5.775, -3.640, 0.000], [5.775, 3.640, 0.000], [-1.884, 0.000, 6.809]], "species": ["Sm", "Sm", "Te", "Te", "I", "I", "O", "O", "O", "O", "O", "O", "O", "O"], "frac_coords": [[0.247, 0.247, 0.364], [0.753, 0.753, 0.636], [0.129, 0.129, 0.759], [0.871, 0.871, 0.241], [0.496, 0.496, 0.752], [0.504, 0.504, 0.248], [0.015, 0.385, 0.638], [0.037, 0.037, 0.306], [0.197, 0.197, 0.026], [0.385, 0.015, 0.638], [0.615, 0.985, 0.362], [0.803, 0.803, 0.974], [0.963, 0.963, 0.694], [0.985, 0.615, 0.362]]}


{"formula": "Sm2Tl2IO6", "functional": "PBE", "state": "optimized geometry", "magnetic_moment_mub_per_atom": 0.08, "e_form_raw_ev_per_atom": -1.586, "sg": "C2/m", "lattice": [[3.075, -5.497, 0.000], [3.075, 5.497, 0.000], [-1.889, 0.000, 6.492]], "species": ["Sm", "Sm", "Tl", "Tl", "I", "O", "O", "O", "O", "O", "O"], "frac_coords": [[0.167, 0.833, 0.000], [0.833, 0.167, 0.000], [0.336, 0.664, 0.500], [0.664, 0.336, 0.500], [0.500, 0.500, 0.000], [0.111, 0.458, 0.826], [0.242, 0.242, 0.152], [0.458, 0.111, 0.826], [0.542, 0.889, 0.174], [0.758, 0.758, 0.848], [0.889, 0.542, 0.174]]}


{"formula": "SmTl2IO8", "functional": "PBE", "state": "optimized geometry", "magnetic_moment_mub_per_atom": 0.00, "e_form_raw_ev_per_atom": -1.040, "sg": "P-1", "lattice": [[5.124, 0.000, 0.000], [-0.086, 5.124, 0.000], [-0.379, -0.408, 6.866]], "species": ["Sm", "Tl", "Tl", "I", "O", "O", "O", "O", "O", "O", "O", "O"], "frac_coords": [[0.000, 0.000, 0.000], [0.470, 0.469, 0.750], [0.530, 0.531, 0.250], [0.000, 0.000, 0.500], [0.160, 0.809, 0.294], [0.185, 0.834, 0.705], [0.276, 0.269, 0.497], [0.317, 0.308, 0.023], [0.683, 0.692, 0.977], [0.724, 0.731, 0.503], [0.815, 0.166, 0.295], [0.840, 0.191, 0.706]]}